Record 1
Material: MnSbN2
Method: DFT, meta-GGA SCAN
State: PBEsol geometry

The structure in POSCAR format:
```
MnSbN2
1.0
1.505 0.869 6.231
-1.505 0.869 6.231
0.000 -1.738 6.231
Mn Sb N
1 1 2
direct
0.000 0.000 0.000
0.500 0.500 0.500
0.385 0.385 0.385
0.615 0.615 0.615
```

## Properties
calculated density: 6.95 Mg/m³
uncorrected formation energy: -0.029 eV/atom

Record 2
Material: MnSbTe2N
Method: DFT, meta-GGA SCAN
State: PBEsol geometry

The structure in POSCAR format:
```
MnSbTe2N
1.0
5.108 0.000 0.000
0.000 5.108 0.000
0.000 0.000 4.984
Mn Sb Te N
1 1 2 1
direct
0.000 0.000 0.000
0.000 0.000 0.500
0.000 0.500 0.000
0.500 0.000 0.000
0.500 0.500 0.500
```

## Properties
calculated density: 5.69 Mg/m³
uncorrected formation energy: 1.102 eV/atom

Record 3
Material: Sc3MnN
Method: DFT, meta-GGA SCAN
State: PBEsol geometry

The structure in POSCAR format:
```
Sc3MnN
1.0
4.370 0.000 0.000
0.000 4.370 0.000
0.000 0.000 4.370
Sc Mn N
3 1 1
direct
0.000 0.000 0.500
0.000 0.500 0.000
0.500 0.000 0.000
0.500 0.500 0.500
0.000 0.000 0.000
```

## Properties
calculated density: 4.06 Mg/m³
uncorrected formation energy: -0.925 eV/atom

Record 4
Material: ScMnSeN2
Method: DFT, meta-GGA SCAN
State: PBEsol geometry

The structure in POSCAR format:
```
ScMnSeN2
1.0
3.660 0.000 0.000
0.000 3.660 0.000
0.000 0.000 4.859
Sc Mn Se N
1 1 1 2
direct
0.000 0.000 0.000
0.500 0.500 0.500
0.500 0.500 0.000
0.000 0.500 0.500
0.500 0.000 0.500
```

## Properties
calculated density: 5.28 Mg/m³
uncorrected formation energy: -0.151 eV/atom

Record 5
Material: MnTlSeN2
Method: DFT, meta-GGA SCAN
State: PBEsol geometry

The structure in POSCAR format:
```
MnTlSeN2
1.0
3.735 0.000 0.000
0.000 3.735 0.000
0.000 0.000 5.150
Mn Tl Se N
1 1 1 2
direct
0.000 0.000 0.000
0.500 0.500 0.500
0.000 0.000 0.500
0.000 0.500 0.000
0.500 0.000 0.000
```

## Properties
calculated density: 8.47 Mg/m³
uncorrected formation energy: 0.576 eV/atom

Record 6
Material: MnWSeN2
Method: DFT, meta-GGA SCAN
State: PBEsol geometry

The structure in POSCAR format:
```
MnWSeN2
1.0
3.865 0.000 0.000
0.000 3.865 0.000
0.000 0.000 5.201
Mn W Se N
1 1 1 2
direct
0.000 0.000 0.000
0.500 0.500 0.500
0.500 0.500 0.000
0.000 0.500 0.500
0.500 0.000 0.500
```

## Properties
calculated density: 7.39 Mg/m³
uncorrected formation energy: 0.109 eV/atom

Record 7
Material: Mn3SnN
Method: DFT, meta-GGA SCAN
State: PBEsol geometry

The structure in POSCAR format:
```
Mn3SnN
1.0
3.818 0.000 0.000
0.000 3.818 0.000
0.000 0.000 3.818
Mn Sn N
3 1 1
direct
0.000 0.000 0.500
0.000 0.500 0.000
0.500 0.000 0.000
0.500 0.500 0.500
0.000 0.000 0.000
```

## Properties
calculated density: 8.87 Mg/m³
uncorrected formation energy: -0.162 eV/atom

Record 8
Material: Mn2SnN
Method: DFT, meta-GGA SCAN
State: PBEsol geometry

The structure in POSCAR format:
```
Mn2SnN
1.0
0.000 3.027 3.027
3.027 0.000 3.027
3.027 3.027 0.000
Mn Sn N
2 1 1
direct
0.250 0.250 0.250
0.750 0.750 0.750
0.000 0.000 0.000
0.500 0.500 0.500
```

## Properties
calculated density: 7.26 Mg/m³
uncorrected formation energy: 0.757 eV/atom

Record 9
Material: MnSnN3
Method: DFT, meta-GGA SCAN
State: PBEsol geometry

The structure in POSCAR format:
```
MnSnN3
1.0
3.735 0.000 0.000
0.000 3.735 0.000
0.000 0.000 3.735
Mn Sn N
1 1 3
direct
0.000 0.000 0.000
0.500 0.500 0.500
0.000 0.000 0.500
0.000 0.500 0.000
0.500 0.000 0.000
```

## Properties
calculated density: 6.87 Mg/m³
uncorrected formation energy: 0.794 eV/atom

Record 10
Material: Sr7MnN6
Method: DFT, meta-GGA SCAN
State: PBEsol geometry

The structure in POSCAR format:
```
Sr7MnN6
1.0
11.611 0.000 0.000
0.000 6.599 0.000
0.000 0.000 13.491
Sr Mn N
28 4 24
direct
0.000 0.066 0.250
0.000 0.934 0.750
0.037 0.237 0.522
0.037 0.763 0.022
0.208 0.387 0.130
0.208 0.613 0.630
0.222 0.356 0.878
0.222 0.644 0.378
0.278 0.144 0.378
0.278 0.856 0.878
0.292 0.113 0.630
0.292 0.887 0.130
0.463 0.263 0.022
0.463 0.737 0.522
0.500 0.434 0.750
0.500 0.566 0.250
0.537 0.263 0.478
0.537 0.737 0.978
0.708 0.113 0.870
0.708 0.887 0.370
0.722 0.144 0.122
0.722 0.856 0.622
0.778 0.356 0.622
0.778 0.644 0.122
0.792 0.387 0.370
0.792 0.613 0.870
0.963 0.237 0.978
0.963 0.763 0.478
0.000 0.428 0.750
0.000 0.572 0.250
0.500 0.072 0.250
0.500 0.928 0.750
0.041 0.417 0.353
0.041 0.583 0.853
0.117 0.271 0.712
0.117 0.729 0.212
0.166 0.089 0.003
0.166 0.911 0.503
0.334 0.411 0.503
0.334 0.589 0.003
0.383 0.229 0.212
0.383 0.771 0.712
0.459 0.083 0.853
0.459 0.917 0.353
0.541 0.083 0.647
0.541 0.917 0.147
0.617 0.229 0.288
0.617 0.771 0.788
0.666 0.411 0.997
0.666 0.589 0.497
0.834 0.089 0.497
0.834 0.911 0.997
0.883 0.271 0.788
0.883 0.729 0.288
0.959 0.417 0.147
0.959 0.583 0.647
```

## Properties
calculated density: 4.83 Mg/m³
uncorrected formation energy: -0.795 eV/atom

Record 11
Material: Sr3MnN3
Method: DFT, meta-GGA SCAN
State: PBEsol geometry

The structure in POSCAR format:
```
Sr3MnN3
1.0
7.606 0.000 0.000
-3.803 6.587 0.000
0.000 0.000 5.189
Sr Mn N
6 2 6
direct
0.087 0.726 0.250
0.274 0.361 0.250
0.361 0.087 0.750
0.639 0.913 0.250
0.726 0.639 0.750
0.913 0.274 0.750
0.333 0.667 0.750
0.667 0.333 0.250
0.119 0.687 0.750
0.313 0.432 0.750
0.432 0.119 0.250
0.568 0.881 0.750
0.687 0.568 0.250
0.881 0.313 0.250
```

## Properties
calculated density: 4.60 Mg/m³
uncorrected formation energy: -0.939 eV/atom

Record 12
Material: TaMnN2
Method: DFT, meta-GGA SCAN
State: PBEsol geometry

The structure in POSCAR format:
```
TaMnN2
1.0
1.484 0.857 5.979
-1.484 0.857 5.979
0.000 -1.714 5.979
Ta Mn N
1 1 2
direct
0.000 0.000 0.000
0.500 0.500 0.500
0.111 0.111 0.111
0.889 0.889 0.889
```

## Properties
calculated density: 9.60 Mg/m³
uncorrected formation energy: -0.363 eV/atom

Record 13
Material: MnTcN2
Method: DFT, meta-GGA SCAN
State: PBEsol geometry

The structure in POSCAR format:
```
MnTcN2
1.0
-2.195 2.195 4.310
2.195 -2.195 4.310
2.195 2.195 -4.310
Mn Tc N
2 2 4
direct
0.000 0.000 0.000
0.750 0.250 0.500
0.250 0.750 0.500
0.500 0.500 0.000
0.099 0.625 0.974
0.375 0.349 0.474
0.651 0.125 0.026
0.875 0.901 0.526
```

## Properties
calculated density: 7.23 Mg/m³
uncorrected formation energy: -0.190 eV/atom